Entry 1:
Material: Ag5HgS2
Method: DFT, PBE
State: relaxed

Summary:
- Density of states at the Fermi level: 0.355 states/eV/atom
- Space-group type: I4/mmm

Cell: 4.523 4.523 8.679 Å, 105.11 105.11 90.00°
Fractional coordinates of all 8 atoms:
Ag (0.121, 0.621, 0.242)
Ag (0.621, 0.121, 0.242)
Ag (0.379, 0.879, 0.758)
Ag (0.879, 0.379, 0.758)
Ag (0.000, 0.000, 0.000)
Hg (0.500, 0.500, 0.000)
S (0.188, 0.188, 0.375)
S (0.812, 0.812, 0.625)



Entry 2:
Material: Ag4HgS2
Method: DFT, PBE
State: relaxed

Summary:
- Space-group type: P4_2/mbc

Cell: 8.539 9.007 9.007 Å, 90.00 90.00 90.00°
Fractional coordinates of all 28 atoms:
Ag (0.500, 0.456, 0.764)
Ag (0.500, 0.544, 0.236)
Ag (0.000, 0.236, 0.456)
Ag (0.000, 0.764, 0.544)
Ag (0.000, 0.264, 0.956)
Ag (0.500, 0.956, 0.736)
Ag (0.500, 0.044, 0.264)
Ag (0.000, 0.736, 0.044)
Ag (0.750, 0.231, 0.731)
Ag (0.250, 0.731, 0.769)
Ag (0.250, 0.269, 0.231)
Ag (0.750, 0.769, 0.269)
Ag (0.250, 0.231, 0.731)
Ag (0.750, 0.731, 0.769)
Ag (0.750, 0.269, 0.231)
Ag (0.250, 0.769, 0.269)
Hg (0.250, 0.500, 0.000)
Hg (0.750, 0.000, 0.500)
Hg (0.750, 0.500, 0.000)
Hg (0.250, 0.000, 0.500)
S (0.000, 0.862, 0.805)
S (0.500, 0.805, 0.138)
S (0.500, 0.195, 0.862)
S (0.000, 0.138, 0.195)
S (0.000, 0.362, 0.695)
S (0.000, 0.638, 0.305)
S (0.500, 0.695, 0.638)
S (0.500, 0.305, 0.362)



Entry 3:
Material: Ag2Hg2S
Method: DFT, PBE
State: relaxed

Summary:
- Relative energy among the computed polymorphs: 190 meV/atom
- Density of states at the Fermi level: 0.374 states/eV/atom
- Space-group type: P4/mbm

Cell: 7.347 7.347 4.042 Å, 90.00 90.00 90.00°
Fractional coordinates of all 10 atoms:
S (0.000, 0.000, 0.000)
S (0.500, 0.500, 0.000)
Hg (0.342, 0.842, 0.000)
Hg (0.842, 0.658, 0.000)
Hg (0.658, 0.158, 0.000)
Hg (0.158, 0.342, 0.000)
Ag (0.138, 0.638, 0.500)
Ag (0.638, 0.862, 0.500)
Ag (0.862, 0.362, 0.500)
Ag (0.362, 0.138, 0.500)



Entry 4:
Material: Ag6HgS4
Method: DFT, PBE
State: relaxed

Summary:
- Density of states at the Fermi level: 0.103 states/eV/atom
- Space-group type: I-42m

Cell: 7.094 7.094 7.094 Å, 80.79 125.45 125.45°
Fractional coordinates of all 11 atoms:
Ag (0.000, 0.817, 0.497)
Ag (0.000, 0.497, 0.817)
Ag (0.320, 0.503, 0.503)
Ag (0.500, 0.500, 0.000)
Ag (0.680, 0.183, 0.183)
Ag (0.500, 0.000, 0.500)
Hg (0.000, 0.000, 0.000)
S (0.000, 0.615, 0.133)
S (0.518, 0.385, 0.385)
S (0.000, 0.133, 0.615)
S (0.482, 0.867, 0.867)



Entry 5:
Material: AgHgS
Method: DFT, PBE
State: relaxed

Summary:
- Relative energy among the computed polymorphs: 63 meV/atom
- Space-group type: C2/m

Cell: 5.157 6.133 9.959 Å, 90.00 114.27 90.00°
Fractional coordinates of all 12 atoms:
S (0.836, 0.000, 0.037)
S (0.164, 0.000, 0.963)
S (0.836, 0.500, 0.537)
S (0.164, 0.500, 0.463)
Hg (0.595, 0.000, 0.359)
Hg (0.405, 0.000, 0.641)
Hg (0.595, 0.500, 0.859)
Hg (0.405, 0.500, 0.141)
Ag (0.000, 0.250, 0.250)
Ag (0.000, 0.250, 0.750)
Ag (0.000, 0.750, 0.750)
Ag (0.000, 0.750, 0.250)



Entry 6:
Material: AgHgS
Method: DFT, PBE
State: relaxed

Summary:
- Relative energy among the computed polymorphs: 111 meV/atom
- Density of states at the Fermi level: 0.115 states/eV/atom
- Space-group type: Fmm2

Cell: 6.565 12.575 7.368 Å, 90.00 90.00 90.00°
Fractional coordinates of all 24 atoms:
S (0.000, 0.143, 0.774)
S (0.000, 0.857, 0.774)
S (0.000, 0.643, 0.274)
S (0.000, 0.357, 0.274)
S (0.500, 0.143, 0.274)
S (0.500, 0.857, 0.274)
S (0.500, 0.643, 0.774)
S (0.500, 0.357, 0.774)
Hg (0.000, 0.324, 0.629)
Hg (0.000, 0.676, 0.629)
Hg (0.000, 0.824, 0.129)
Hg (0.000, 0.176, 0.129)
Hg (0.500, 0.324, 0.129)
Hg (0.500, 0.676, 0.129)
Hg (0.500, 0.824, 0.629)
Hg (0.500, 0.176, 0.629)
Ag (0.227, 0.000, 0.230)
Ag (0.773, 0.000, 0.230)
Ag (0.227, 0.500, 0.730)
Ag (0.773, 0.500, 0.730)
Ag (0.727, 0.000, 0.730)
Ag (0.273, 0.000, 0.730)
Ag (0.727, 0.500, 0.230)
Ag (0.273, 0.500, 0.230)



Entry 7:
Material: AgHgS2
Method: DFT, PBE
State: relaxed

Summary:
- Density of states at the Fermi level: 1.022 states/eV/atom
- Space-group type: I-42d

Cell: 5.873 5.873 7.125 Å, 65.66 65.66 90.00°
Fractional coordinates of all 8 atoms:
S (0.613, 0.125, 0.250)
S (0.137, 0.625, 0.250)
S (0.375, 0.387, 0.750)
S (0.875, 0.863, 0.750)
Hg (0.000, 0.000, 0.000)
Hg (0.750, 0.250, 0.500)
Ag (0.500, 0.500, 0.000)
Ag (0.250, 0.750, 0.500)



Entry 8:
Material: AgHgSbS4
Method: DFT, PBE
State: relaxed

Summary:
- Density of states at the Fermi level: 0.452 states/eV/atom
- Space-group type: Imma

Cell: 7.591 7.905 7.905 Å, 57.31 61.31 61.31°
Fractional coordinates of all 14 atoms:
Ag (0.647, 0.603, 0.103)
Ag (0.353, 0.397, 0.897)
Hg (0.500, 0.000, 0.500)
Hg (0.000, 0.000, 0.500)
Sb (0.000, 0.000, 0.000)
Sb (0.000, 0.500, 0.500)
S (0.779, 0.733, 0.709)
S (0.221, 0.791, 0.767)
S (0.779, 0.209, 0.233)
S (0.221, 0.267, 0.291)
S (0.244, 0.745, 0.245)
S (0.766, 0.745, 0.245)
S (0.234, 0.255, 0.755)
S (0.756, 0.255, 0.755)



no.,calculated volume (A^3/atom),formation energy without anion corrections (eV/atom),spin magnetization (Bohr magnetons per cell)
1,20.63,0.0516,0.00
2,24.74,-0.0038,0.00
3,21.82,0.2557,0.00
4,20.76,0.0421,0.00
5,23.93,-0.0112,0.00
6,25.34,0.0370,0.00
7,24.96,0.0348,0.00
8,23.87,-0.0219,0.00